VASP calculation (GGA-PBEsol) on Ba2ZnOsO6 after structural relaxation.

Structure (CIF):
```
data_Ba2ZnOsO6
_chemical_formula_sum 'Ba8 Zn4 Os4 O24'
_cell_length_a 8.081
_cell_length_b 8.081
_cell_length_c 8.081
_cell_angle_alpha 90.00
_cell_angle_beta 90.00
_cell_angle_gamma 90.00
_space_group_name_H-M_alt 'F m -3 m'
_space_group_IT_number 225
_space_group_name_Hall '-F 4 2 3'
loop_
_atom_site_label
_atom_site_type_symbol
_atom_site_fract_x
_atom_site_fract_y
_atom_site_fract_z
_atom_site_occupancy
Ba1 Ba 0.250 0.250 0.250 1
Zn1 Zn 0.000 0.000 0.000 1
Os1 Os 0.000 0.000 0.500 1
O1 O 0.000 0.000 0.260 1
```

Total moment: 7.98 μB per cell
Formation energy (no corrections): -1.916 eV per atom

VASP calculation (GGA-PBEsol) on Ba5P3O13 after structural relaxation.

Structure (CIF):
```
data_Ba5P3O13
_chemical_formula_sum 'Ba10 P6 O26'
_cell_length_a 10.0738
_cell_length_b 10.0738
_cell_length_c 7.5986
_cell_angle_alpha 90.00
_cell_angle_beta 90.00
_cell_angle_gamma 120.00
_space_group_name_H-M_alt 'P 63/m'
_space_group_IT_number 176
_space_group_name_Hall '-P 6c'
loop_
_atom_site_label
_atom_site_type_symbol
_atom_site_fract_x
_atom_site_fract_y
_atom_site_fract_z
_atom_site_occupancy
Ba1 Ba 0.0155 0.2382 0.2500 1
Ba2 Ba 0.3333 0.6667 0.5019 1
P1 P 0.0289 0.4022 0.7500 1
O1 O 0.0000 0.0000 0.0000 1
O2 O 0.0818 0.3496 0.5848 1
O3 O 0.1082 0.5798 0.7500 1
O4 O 0.1477 0.6714 0.2500 1
```

Total moment: 2.02 μB per cell
Formation energy (no corrections): -2.776 eV per atom